Version one
## CrNi2Ag (PBE)

Data for an optimized crystal structure of CrNi2Ag.

The space group is R3m (No. 160, hexagonal axes) and the conventional cell measures 2.6130, 2.6130 and 26.0417 Å, with angles of 90.00, 90.00 and 120.00 degrees. The inequivalent atoms are Cr at (0.0000, 0.0000, 0.0000), Ni at (0.0000, 0.0000, 0.4847), Ni at (0.0000, 0.0000, 0.7407) and Ag at (0.0000, 0.0000, 0.2396).

For the density of states at the Fermi level, the calculation gives 8.22 states/eV/cell. As for the theoretical density: 8.97 g/cm³.


Version two
## CrNi2Ag (PBE)

Data for an optimized crystal structure of CrNi2Ag.

The space group is P2/m (No. 10) and the conventional cell measures 4.492, 2.750 and 4.648 Å, with angles of 90.00, 109.56 and 90.00 degrees. The inequivalent atoms are Cr at (0.000, 0.000, 0.000), Ni at (0.500, 0.000, 0.500), Ni at (0.500, 0.500, 0.000) and Ag at (0.000, 0.500, 0.500).

For the density of states at the Fermi level, the calculation gives 6.04 states/eV/cell. As for the theoretical density: 8.51 g/cm³.


Verdict on stability: version two comes out at the bottom.